# LuZrZnRe

A relaxed structure of LuZrZnRe (PBE-GGA, Alexandria).

Cell lengths 6.740, 6.740, 6.740 Å; angles 90.00, 90.00, 90.00 degrees
Space group F-43m (No. 216)
Inequivalent atoms, fractional coordinates:
Lu 0.000 0.000 0.000 x4
Zr 0.000 0.000 0.500 x4
Zn 0.250 0.250 0.750 x4
Re 0.250 0.250 0.250 x4

Values from the calculation:
Calculated formation energy = -0.1699 eV/atom
Final energy = -6.868 eV/atom
Calculated volume = 19.140 A^3/atom